--- a ---
First-principles (GGA-PBE) data for La2PtBr2 after structural relaxation, as listed in the Alexandria database.

Lattice parameters (Å, degrees): 8.5013 8.5013 3.6002 90.00 90.00 90.00
Atoms (fractional coordinates):
Br: 0.3741 0.8741 0.0000
Br: 0.8741 0.6259 0.0000
Br: 0.6259 0.1259 0.0000
Br: 0.1259 0.3741 0.0000
Pt: 0.0000 0.0000 0.0000
Pt: 0.5000 0.5000 0.0000
La: 0.1770 0.6770 0.5000
La: 0.6770 0.8230 0.5000
La: 0.8230 0.3230 0.5000
La: 0.3230 0.1770 0.5000

space-group type: P4/mbm, No. 127
theoretical density: 8.08 g cm⁻³



--- b ---
First-principles (GGA-PBE) data for La2PtBr2 after structural relaxation, as listed in the Alexandria database.

Lattice parameters (Å, degrees): 5.6192 5.6192 6.1696 62.91 62.91 90.00
Atoms (fractional coordinates):
Br: 0.3393 0.3393 0.3214
Br: 0.6607 0.6607 0.6786
Pt: 0.0000 0.0000 0.0000
La: 0.7500 0.2500 0.5000
La: 0.2500 0.7500 0.5000

space-group type: I4/mmm, No. 139
theoretical density: 7.05 g cm⁻³



It is a that is most stable; the runner-up trails by 0.090 eV/atom.



--- a ---
First-principles (GGA-PBE) data for LaPtBr2 after structural relaxation, as listed in the Alexandria database.

Lattice parameters (Å, degrees): 8.0332 8.0332 8.0332 32.33 32.33 32.33
Site moments in Bohr magnetons follow the coordinates.
Atoms (fractional coordinates):
Br: 0.0442 0.0442 0.0442  0.18
Br: 0.2251 0.2251 0.2251  0.01
Pt: 0.7520 0.7520 0.7520  0.27
La: 0.4788 0.4788 0.4788  0.15

space-group type: R3m, No. 160
theoretical density: 6.22 g cm⁻³



--- b ---
First-principles (GGA-PBE) data for LaPtBr2 after structural relaxation, as listed in the Alexandria database.

Lattice parameters (Å, degrees): 5.1823 5.1823 5.1823 60.00 60.00 60.00
Atoms (fractional coordinates):
Br: 0.0000 0.0000 0.0000
Br: 0.2500 0.2500 0.2500
Pt: 0.7500 0.7500 0.7500
La: 0.5000 0.5000 0.5000

space-group type: F-43m, No. 216
theoretical density: 8.33 g cm⁻³



It is a that is most stable; the runner-up trails by 0.267 eV/atom.



--- a ---
First-principles (GGA-PBE) data for LaPtSe2Br after structural relaxation, as listed in the Alexandria database.

Lattice parameters (Å, degrees): 5.0637 5.0637 4.9985 90.00 90.00 90.00
Site moments in Bohr magnetons follow the coordinates.
Atoms (fractional coordinates):
Se: 0.0000 0.5000 0.0000  0.00
Se: 0.5000 0.0000 0.0000  0.00
Br: 0.0000 0.0000 0.5000  0.00
Pt: 0.0000 0.0000 0.0000  0.00
La: 0.5000 0.5000 0.5000  -0.11

space-group type: P4/mmm, No. 123
theoretical density: 7.41 g cm⁻³



--- b ---
First-principles (GGA-PBE) data for LaPtSe2Br after structural relaxation, as listed in the Alexandria database.

Lattice parameters (Å, degrees): 5.8116 5.8116 5.6453 90.00 90.00 90.00
Site moments in Bohr magnetons follow the coordinates.
Atoms (fractional coordinates):
Se: 0.0000 0.5000 0.0000  0.26
Se: 0.5000 0.0000 0.0000  0.26
Br: 0.0000 0.0000 0.5000  0.03
Pt: 0.5000 0.5000 0.5000  0.77
La: 0.0000 0.0000 0.0000  0.01

space-group type: P4/mmm, No. 123
theoretical density: 4.98 g cm⁻³



It is a that is most stable; the runner-up trails by 0.918 eV/atom.



--- a ---
First-principles (GGA-PBE) data for LaPtSeBr2 after structural relaxation, as listed in the Alexandria database.

Lattice parameters (Å, degrees): 5.7098 5.7098 5.9459 90.00 90.00 90.00
Site moments in Bohr magnetons follow the coordinates.
Atoms (fractional coordinates):
Se: 0.0000 0.0000 0.5000  0.10
Br: 0.0000 0.5000 0.0000  0.01
Br: 0.5000 0.0000 0.0000  0.01
Pt: 0.5000 0.5000 0.5000  0.79
La: 0.0000 0.0000 0.0000  0.00

space-group type: P4/mmm, No. 123
theoretical density: 4.91 g cm⁻³



--- b ---
First-principles (GGA-PBE) data for LaPtSeBr2 after structural relaxation, as listed in the Alexandria database.

Lattice parameters (Å, degrees): 5.0698 5.0698 5.2288 90.00 90.00 90.00
Site moments in Bohr magnetons follow the coordinates.
Atoms (fractional coordinates):
Se: 0.0000 0.0000 0.5000  0.01
Br: 0.0000 0.5000 0.0000  0.00
Br: 0.5000 0.0000 0.0000  0.00
Pt: 0.0000 0.0000 0.0000  0.02
La: 0.5000 0.5000 0.5000  -0.24

space-group type: P4/mmm, No. 123
theoretical density: 7.08 g cm⁻³



It is b that is most stable; the runner-up trails by 0.470 eV/atom.



--- a ---
First-principles (GGA-PBE) data for RbLa2Br after structural relaxation, as listed in the Alexandria database.

Lattice parameters (Å, degrees): 5.7888 5.7888 11.9904 76.03 76.03 90.00
Atoms (fractional coordinates):
Br: 0.5000 0.5000 0.0000
Br: 0.2500 0.7500 0.5000
Rb: 0.0000 0.0000 0.0000
Rb: 0.7500 0.2500 0.5000
La: 0.4306 0.1250 0.2500
La: 0.3194 0.6250 0.2500
La: 0.3750 0.5694 0.7500
La: 0.8750 0.6806 0.7500

space-group type: I-42d, No. 122
theoretical density: 3.90 g cm⁻³



--- b ---
First-principles (GGA-PBE) data for RbLa2Br after structural relaxation, as listed in the Alexandria database.

Lattice parameters (Å, degrees): 5.8844 5.8844 5.8844 60.00 60.00 60.00
Atoms (fractional coordinates):
Br: 0.0000 0.0000 0.0000
Rb: 0.5000 0.5000 0.5000
La: 0.2500 0.2500 0.2500
La: 0.7500 0.7500 0.7500

space-group type: Fm-3m, No. 225
theoretical density: 5.11 g cm⁻³



It is a that is most stable; the runner-up trails by 0.275 eV/atom.



--- a ---
First-principles (GGA-PBE) data for RbLaSeBr2 after structural relaxation, as listed in the Alexandria database.

Lattice parameters (Å, degrees): 5.7639 5.7639 6.0060 90.00 90.00 90.00
Site moments in Bohr magnetons follow the coordinates.
Atoms (fractional coordinates):
Se: 0.0000 0.0000 0.5000  -0.05
Br: 0.0000 0.5000 0.0000  0.00
Br: 0.5000 0.0000 0.0000  0.00
Rb: 0.0000 0.0000 0.0000  0.00
La: 0.5000 0.5000 0.5000  0.32

space-group type: P4/mmm, No. 123
theoretical density: 3.85 g cm⁻³



--- b ---
First-principles (GGA-PBE) data for RbLaSeBr2 after structural relaxation, as listed in the Alexandria database.

Lattice parameters (Å, degrees): 5.9736 5.9736 5.7353 90.00 90.00 90.00
Atoms (fractional coordinates):
Se: 0.0000 0.0000 0.5000
Br: 0.0000 0.5000 0.0000
Br: 0.5000 0.0000 0.0000
Rb: 0.5000 0.5000 0.5000
La: 0.0000 0.0000 0.0000

space-group type: P4/mmm, No. 123
theoretical density: 3.76 g cm⁻³



It is b that is most stable; the runner-up trails by 1.206 eV/atom.